A plane-wave DFT calculation with GGA-PBE was carried out for a geometry-optimized Li5Sn4Ge structure.

Properties
The calculation puts the energy relative to the elements at -0.29 eV/atom. As for the symmetry: P4/mmm (123).

Unit cell a=3.391 b=3.391 c=16.986 alpha=90.00 beta=90.00 gamma=90.00
Element x y z (fractional)
Li (0.500, 0.500, 0.083)
Li (0.500, 0.500, 0.290)
Li (0.500, 0.500, 0.500)
Li (0.500, 0.500, 0.710)
Li (0.500, 0.500, 0.917)
Sn (0.000, 0.000, 0.186)
Sn (0.000, 0.000, 0.395)
Sn (0.000, 0.000, 0.605)
Sn (0.000, 0.000, 0.814)
Ge (0.000, 0.000, 0.000)

A plane-wave DFT calculation with GGA-PBE was carried out for a geometry-optimized Sm2Zn5Si structure.

Properties
For the uncorrected formation energy, the calculation gives -3.6 eV/f.u. As for the symmetry: Cmcm (63).

Unit cell a=4.360 b=8.286 c=8.803 alpha=90.00 beta=90.00 gamma=105.25
Element x y z (fractional)
Sm (0.798, 0.596, 0.750)
Sm (0.202, 0.404, 0.250)
Sm (0.000, 0.000, 0.000)
Sm (0.000, 0.000, 0.500)
Zn (0.187, 0.373, 0.894)
Zn (0.813, 0.627, 0.106)
Zn (0.187, 0.373, 0.606)
Zn (0.813, 0.627, 0.394)
Zn (0.351, 0.702, 0.976)
Zn (0.649, 0.298, 0.024)
Zn (0.351, 0.702, 0.524)
Zn (0.649, 0.298, 0.476)
Zn (0.596, 0.193, 0.750)
Zn (0.404, 0.807, 0.250)
Si (0.444, 0.888, 0.750)
Si (0.556, 0.112, 0.250)

A plane-wave DFT calculation with GGA-PBE was carried out for a geometry-optimized Nd6Bi3AsSe2 structure.

Properties
For the uncorrected formation energy, the calculation gives -16.0 eV/f.u. As for the symmetry: C2/m (12).

Unit cell a=4.424 b=8.875 c=9.925 alpha=103.23 beta=102.88 gamma=90.00
Element x y z (fractional)
Nd (0.340, 0.911, 0.681)
Nd (0.669, 0.574, 0.339)
Nd (0.660, 0.089, 0.319)
Nd (0.003, 0.235, 0.006)
Nd (0.997, 0.765, 0.994)
Nd (0.331, 0.426, 0.661)
Bi (0.500, 0.500, 0.000)
Bi (0.832, 0.167, 0.663)
Bi (0.168, 0.833, 0.337)
As (0.500, 0.000, 0.000)
Se (0.833, 0.666, 0.666)
Se (0.167, 0.334, 0.334)

A plane-wave DFT calculation with GGA-PBE was carried out for a geometry-optimized TcAsPO2 structure.

Properties
For the uncorrected formation energy, the calculation gives -2.3 eV/f.u. As for the symmetry: P4/mmm (123). The value obtained for the energy above the most stable polymorph in this dataset is 0 meV/atom.

Unit cell a=3.750 b=3.750 c=5.401 alpha=90.00 beta=90.00 gamma=90.00
Element x y z (fractional)
P (0.000, 0.000, 0.500)
As (0.500, 0.500, 0.500)
Tc (0.000, 0.000, 0.000)
O (0.000, 0.500, 0.000)
O (0.500, 0.000, 0.000)

no.,total DFT energy (no corrections) (eV for the cell shown)
1,-33.12
2,-49.57
3,-67.84
4,-32.65